Record 1
# LiSeBr4 | Alexandria | PBE | optimized geometry
data_LiSeBr4
_symmetry_space_group_name_H-M 'P -1'
_symmetry_Int_Tables_number 2
_cell_length_a 4.247
_cell_length_b 6.661
_cell_length_c 6.968
_cell_angle_alpha 98.33
_cell_angle_beta 100.22
_cell_angle_gamma 94.89
loop_
_symmetry_equiv_pos_as_xyz
'x,y,z'
'-x,-y,-z'
loop_
_atom_site_label
_atom_site_fract_x
_atom_site_fract_y
_atom_site_fract_z
Li1 0.000 0.000 0.000
Se1 0.500 0.500 0.000
Br1 0.154 0.369 0.229
Br2 0.412 0.142 0.782
# N(E_F) = 1.4 states/eV per cell
# calculated volume = 191 Å³/cell
# mass density = 3.53 Mg/m³
# formation energy from raw total energies = -0.553 eV per atom
# energy relative to the lowest polymorph listed for this composition = 0 meV per atom
# final energy = -2.568 eV/atom

=====

Record 2
# Li3SeBr | Alexandria | PBE | optimized geometry
data_Li3SeBr
_symmetry_space_group_name_H-M 'C 1 2/m 1'
_symmetry_Int_Tables_number 12
_cell_length_a 12.839
_cell_length_b 6.534
_cell_length_c 6.665
_cell_angle_alpha 90.00
_cell_angle_beta 120.52
_cell_angle_gamma 90.00
loop_
_symmetry_equiv_pos_as_xyz
'x,y,z'
'-x,-y,-z'
'-x,y,-z'
'x,-y,z'
'x+1/2,y+1/2,z'
'-x+1/2,-y+1/2,-z'
'-x+1/2,y+1/2,-z'
'x+1/2,-y+1/2,z'
loop_
_atom_site_label
_atom_site_fract_x
_atom_site_fract_y
_atom_site_fract_z
Li1 0.087 0.000 0.245
Li2 0.229 0.247 0.770
Se1 0.133 0.000 0.915
Br1 0.171 0.500 0.406
# N(E_F) = 0.0 states/eV per cell
# calculated volume = 482 Å³/cell
# mass density = 2.48 Mg/m³
# formation energy from raw total energies = -1.247 eV per atom
# energy relative to the lowest polymorph listed for this composition = 0 meV per atom
# final energy = -3.427 eV/atom

=====

Record 3
# LiSeBr2 | Alexandria | PBE | optimized geometry
data_LiSeBr2
_symmetry_space_group_name_H-M 'F -4 3 m'
_symmetry_Int_Tables_number 216
_symmetry_space_group_name_Hall 'F -4 2 3'
_cell_length_a 7.458
_cell_length_b 7.458
_cell_length_c 7.458
_cell_angle_alpha 90.00
_cell_angle_beta 90.00
_cell_angle_gamma 90.00
loop_
_atom_site_label
_atom_site_fract_x
_atom_site_fract_y
_atom_site_fract_z
Li1 0.000 0.000 0.000
Se1 0.250 0.250 0.750
Br1 0.000 0.000 0.500
Br2 0.250 0.250 0.250
# N(E_F) = 19.7 states/eV per cell
# calculated volume = 415 Å³/cell
# mass density = 3.93 Mg/m³
# formation energy from raw total energies = 0.071 eV per atom
# energy relative to the lowest polymorph listed for this composition = 646 meV per atom
# final energy = -2.115 eV/atom

=====

Record 4
# Li2SeBr | Alexandria | PBE | optimized geometry
data_Li2SeBr
_symmetry_space_group_name_H-M 'P 4 m m'
_symmetry_Int_Tables_number 99
_cell_length_a 3.472
_cell_length_b 3.472
_cell_length_c 7.188
_cell_angle_alpha 90.00
_cell_angle_beta 90.00
_cell_angle_gamma 90.00
loop_
_symmetry_equiv_pos_as_xyz
'x,y,z'
'-y,x,z'
'-x,-y,z'
'y,-x,z'
'-x,y,z'
'y,x,z'
'x,-y,z'
'-y,-x,z'
loop_
_atom_site_label
_atom_site_fract_x
_atom_site_fract_y
_atom_site_fract_z
Li1 0.000 0.000 0.000
Li2 0.500 0.500 0.469
Se1 0.000 0.000 0.636
Br1 0.500 0.500 0.119
# N(E_F) = 1.2 states/eV per cell
# calculated volume = 87 Å³/cell
# mass density = 3.31 Mg/m³
# formation energy from raw total energies = -1.048 eV per atom
# energy relative to the lowest polymorph listed for this composition = 5 meV per atom
# final energy = -3.294 eV/atom